1.
VASP calculation (GGA-PBE) on an optimized crystal structure of BaBMo.

Properties
Space group ... F-43m
Raw total energy ... -55.4 eV per cell

Lattice parameters (Å, degrees): 6.321 6.321 6.321 90.00 90.00 90.00
Positions (direct):
Ba: 0.000 0.000 0.000
Ba: 0.000 0.500 0.500
Ba: 0.500 0.000 0.500
Ba: 0.500 0.500 0.000
B: 0.000 0.000 0.500
B: 0.000 0.500 0.000
B: 0.500 0.000 0.000
B: 0.500 0.500 0.500
Mo: 0.250 0.250 0.750
Mo: 0.250 0.750 0.250
Mo: 0.750 0.250 0.250
Mo: 0.750 0.750 0.750



2.
VASP calculation (GGA-PBE) on an optimized crystal structure of CsGdSO.

Properties
Space group ... P-6m2
Raw total energy ... -46.2 eV per cell

Lattice parameters (Å, degrees): 3.809 3.809 15.028 90.00 90.00 120.00
Positions (direct):
Cs: 0.000 0.000 0.000
Cs: 0.333 0.667 0.500
Gd: 0.667 0.333 0.221
Gd: 0.667 0.333 0.779
S: 0.000 0.000 0.329
S: 0.000 0.000 0.671
O: 0.333 0.667 0.152
O: 0.333 0.667 0.848



3.
VASP calculation (GGA-PBE) on an optimized crystal structure of Tm2GaNi2.

Properties
Space group ... Immm
Raw total energy ... -52.3 eV per cell

Lattice parameters (Å, degrees): 4.150 5.323 8.128 90.00 90.00 90.00
Positions (direct):
Tm: 0.000 0.000 0.202
Tm: 0.000 0.000 0.798
Tm: 0.500 0.500 0.298
Tm: 0.500 0.500 0.702
Ga: 0.000 0.500 0.000
Ga: 0.500 0.000 0.500
Ni: 0.000 0.269 0.500
Ni: 0.000 0.731 0.500
Ni: 0.500 0.231 0.000
Ni: 0.500 0.769 0.000



4.
VASP calculation (GGA-PBE) on an optimized crystal structure of Cd2In.

Properties
Space group ... Fd-3m
Raw total energy ... -8.7 eV per cell

Lattice parameters (Å, degrees): 5.909 5.909 5.909 60.00 60.00 60.00
Positions (direct):
Cd: 0.000 0.000 0.000
Cd: 0.000 0.000 0.500
Cd: 0.000 0.500 0.000
Cd: 0.500 0.000 0.000
In: 0.375 0.375 0.375
In: 0.625 0.625 0.625



5.
VASP calculation (GGA-PBE) on an optimized crystal structure of ErTmCo2I2.

Properties
Space group ... P3m1
Raw total energy ... -31.1 eV per cell

Lattice parameters (Å, degrees): 3.949 3.949 12.120 90.00 90.00 120.00
Positions (direct):
Er: 0.000 0.000 0.000
Tm: 0.000 0.000 0.705
Co: 0.333 0.667 0.848
Co: 0.667 0.333 0.855
I: 0.333 0.667 0.177
I: 0.667 0.333 0.529



6.
VASP calculation (GGA-PBE) on an optimized crystal structure of Lu4Hf2Zn3N3.

Properties
Space group ... C2/c
Raw total energy ... -156.9 eV per cell

Lattice parameters (Å, degrees): 5.785 5.785 14.584 101.70 101.70 59.97
Positions (direct):
Lu: 0.039 0.194 0.099
Lu: 0.126 0.301 0.401
Lu: 0.194 0.039 0.599
Lu: 0.301 0.126 0.901
Lu: 0.699 0.874 0.099
Lu: 0.806 0.961 0.401
Lu: 0.874 0.699 0.599
Lu: 0.961 0.806 0.901
Hf: 0.352 0.526 0.078
Hf: 0.474 0.648 0.422
Hf: 0.526 0.352 0.578
Hf: 0.648 0.474 0.922
Zn: 0.148 0.852 0.250
Zn: 0.319 0.413 0.750
Zn: 0.413 0.319 0.250
Zn: 0.587 0.681 0.750
Zn: 0.681 0.587 0.250
Zn: 0.852 0.148 0.750
N: 0.000 0.500 0.000
N: 0.177 0.662 0.500
N: 0.338 0.823 0.000
N: 0.500 0.000 0.500
N: 0.662 0.177 0.000
N: 0.823 0.338 0.500



7.
VASP calculation (GGA-PBE) on an optimized crystal structure of SrMg2ZnAu.

Properties
Space group ... I4mm
Raw total energy ... -22.8 eV per cell

Lattice parameters (Å, degrees): 4.444 4.444 12.221 90.00 90.00 90.00
Positions (direct):
Sr: 0.000 0.000 0.000
Sr: 0.500 0.500 0.500
Mg: 0.000 0.500 0.253
Mg: 0.000 0.500 0.753
Mg: 0.500 0.000 0.253
Mg: 0.500 0.000 0.753
Zn: 0.000 0.000 0.608
Zn: 0.500 0.500 0.108
Au: 0.000 0.000 0.391
Au: 0.500 0.500 0.891



8.
VASP calculation (GGA-PBE) on an optimized crystal structure of GdYNi4.

Properties
Space group ... P6/mmm
Raw total energy ... -66.6 eV per cell
Formation enthalpy at 0 K ... 0.013 eV per atom

Lattice parameters (Å, degrees): 5.404 5.404 7.996 90.00 90.00 120.00
Positions (direct):
Gd: 0.333 0.667 0.000
Gd: 0.667 0.333 0.000
Y: 0.000 0.000 0.000
Y: 0.000 0.000 0.500
Ni: 0.000 0.500 0.276
Ni: 0.000 0.500 0.724
Ni: 0.333 0.667 0.500
Ni: 0.500 0.000 0.276
Ni: 0.500 0.000 0.724
Ni: 0.500 0.500 0.276
Ni: 0.500 0.500 0.724
Ni: 0.667 0.333 0.500



9.
VASP calculation (GGA-PBE) on an optimized crystal structure of YReGe.

Properties
Space group ... F-43m
Raw total energy ... -79.8 eV per cell

Lattice parameters (Å, degrees): 6.573 6.573 6.573 90.00 90.00 90.00
Positions (direct):
Y: 0.000 0.000 0.000
Y: 0.000 0.500 0.500
Y: 0.500 0.000 0.500
Y: 0.500 0.500 0.000
Re: 0.250 0.250 0.250
Re: 0.250 0.750 0.750
Re: 0.750 0.250 0.750
Re: 0.750 0.750 0.250
Ge: 0.250 0.250 0.750
Ge: 0.250 0.750 0.250
Ge: 0.750 0.250 0.250
Ge: 0.750 0.750 0.750



10.
VASP calculation (GGA-PBE) on an optimized crystal structure of LiLuAlNi.

Properties
Space group ... F-43m
Raw total energy ... -65.5 eV per cell

Lattice parameters (Å, degrees): 6.383 6.383 6.383 90.00 90.00 90.00
Positions (direct):
Li: 0.000 0.000 0.000
Li: 0.000 0.500 0.500
Li: 0.500 0.000 0.500
Li: 0.500 0.500 0.000
Lu: 0.250 0.250 0.250
Lu: 0.250 0.750 0.750
Lu: 0.750 0.250 0.750
Lu: 0.750 0.750 0.250
Al: 0.000 0.000 0.500
Al: 0.000 0.500 0.000
Al: 0.500 0.000 0.000
Al: 0.500 0.500 0.500
Ni: 0.250 0.250 0.750
Ni: 0.250 0.750 0.250
Ni: 0.750 0.250 0.250
Ni: 0.750 0.750 0.750



11.
VASP calculation (GGA-PBE) on an optimized crystal structure of SiTcSb2.

Properties
Space group ... F-43m
Raw total energy ... -86.3 eV per cell

Lattice parameters (Å, degrees): 6.769 6.769 6.769 90.00 90.00 90.00
Positions (direct):
Si: 0.000 0.000 0.000
Si: 0.000 0.500 0.500
Si: 0.500 0.000 0.500
Si: 0.500 0.500 0.000
Tc: 0.250 0.250 0.250
Tc: 0.250 0.750 0.750
Tc: 0.750 0.250 0.750
Tc: 0.750 0.750 0.250
Sb: 0.000 0.000 0.500
Sb: 0.000 0.500 0.000
Sb: 0.250 0.250 0.750
Sb: 0.250 0.750 0.250
Sb: 0.500 0.000 0.000
Sb: 0.500 0.500 0.500
Sb: 0.750 0.250 0.250
Sb: 0.750 0.750 0.750



12.
VASP calculation (GGA-PBE) on an optimized crystal structure of PrSiSnPt2.

Properties
Space group ... P4/nmm
Raw total energy ... -62.6 eV per cell

Lattice parameters (Å, degrees): 4.361 4.361 10.694 90.00 90.00 90.00
Positions (direct):
Pr: 0.250 0.250 0.232
Pr: 0.750 0.750 0.768
Si: 0.250 0.250 0.884
Si: 0.750 0.750 0.116
Sn: 0.250 0.750 0.500
Sn: 0.750 0.250 0.500
Pt: 0.250 0.250 0.662
Pt: 0.250 0.750 0.000
Pt: 0.750 0.250 0.000
Pt: 0.750 0.750 0.338



13.
VASP calculation (GGA-PBE) on an optimized crystal structure of BeNbFe2.

Properties
Space group ... F-43m
Raw total energy ... -121.1 eV per cell

Lattice parameters (Å, degrees): 5.826 5.826 5.826 90.00 90.00 90.00
Positions (direct):
Be: 0.000 0.000 0.000
Be: 0.000 0.500 0.500
Be: 0.500 0.000 0.500
Be: 0.500 0.500 0.000
Nb: 0.250 0.250 0.750
Nb: 0.250 0.750 0.250
Nb: 0.750 0.250 0.250
Nb: 0.750 0.750 0.750
Fe: 0.000 0.000 0.500
Fe: 0.000 0.500 0.000
Fe: 0.250 0.250 0.250
Fe: 0.250 0.750 0.750
Fe: 0.500 0.000 0.000
Fe: 0.500 0.500 0.500
Fe: 0.750 0.250 0.750
Fe: 0.750 0.750 0.250



14.
VASP calculation (GGA-PBE) on an optimized crystal structure of Nd2Sm2B2Br5.

Properties
Space group ... C2/m
Raw total energy ... -54.7 eV per cell

Lattice parameters (Å, degrees): 10.349 10.349 8.305 103.06 103.06 22.22
Positions (direct):
Nd: 0.001 0.001 0.206
Nd: 0.999 0.999 0.794
Sm: 0.340 0.340 0.899
Sm: 0.660 0.660 0.101
B: 0.460 0.460 0.977
B: 0.540 0.540 0.023
Br: 0.162 0.162 0.357
Br: 0.171 0.171 0.844
Br: 0.500 0.500 0.500
Br: 0.829 0.829 0.156
Br: 0.838 0.838 0.643



15.
VASP calculation (GGA-PBE) on an optimized crystal structure of LiTb2AgSe2O2.

Properties
Space group ... P-4m2
Raw total energy ... -48.3 eV per cell

Lattice parameters (Å, degrees): 3.946 3.946 9.088 90.00 90.00 90.00
Positions (direct):
Li: 0.000 0.000 0.000
Tb: 0.000 0.500 0.377
Tb: 0.500 0.000 0.623
Ag: 0.500 0.500 0.000
Se: 0.000 0.500 0.803
Se: 0.500 0.000 0.197
O: 0.000 0.000 0.500
O: 0.500 0.500 0.500



16.
VASP calculation (GGA-PBE) on an optimized crystal structure of ScInCu2.

Properties
Space group ... F-43m
Raw total energy ... -68.2 eV per cell

Lattice parameters (Å, degrees): 6.433 6.433 6.433 90.00 90.00 90.00
Positions (direct):
Sc: 0.000 0.000 0.000
Sc: 0.000 0.500 0.500
Sc: 0.500 0.000 0.500
Sc: 0.500 0.500 0.000
In: 0.250 0.250 0.250
In: 0.250 0.750 0.750
In: 0.750 0.250 0.750
In: 0.750 0.750 0.250
Cu: 0.000 0.000 0.500
Cu: 0.000 0.500 0.000
Cu: 0.250 0.250 0.750
Cu: 0.250 0.750 0.250
Cu: 0.500 0.000 0.000
Cu: 0.500 0.500 0.500
Cu: 0.750 0.250 0.250
Cu: 0.750 0.750 0.750



17.
VASP calculation (GGA-PBE) on an optimized crystal structure of ReNiSn2.

Properties
Space group ... F-43m
Raw total energy ... -91.5 eV per cell

Lattice parameters (Å, degrees): 6.592 6.592 6.592 90.00 90.00 90.00
Positions (direct):
Re: 0.000 0.000 0.000
Re: 0.000 0.500 0.500
Re: 0.500 0.000 0.500
Re: 0.500 0.500 0.000
Ni: 0.250 0.250 0.250
Ni: 0.250 0.750 0.750
Ni: 0.750 0.250 0.750
Ni: 0.750 0.750 0.250
Sn: 0.000 0.000 0.500
Sn: 0.000 0.500 0.000
Sn: 0.250 0.250 0.750
Sn: 0.250 0.750 0.250
Sn: 0.500 0.000 0.000
Sn: 0.500 0.500 0.500
Sn: 0.750 0.250 0.250
Sn: 0.750 0.750 0.750



18.
VASP calculation (GGA-PBE) on an optimized crystal structure of NaTbHgSe3.

Properties
Space group ... Pnma
Raw total energy ... -93.2 eV per cell

Lattice parameters (Å, degrees): 12.879 4.164 12.256 90.00 90.00 90.00
Positions (direct):
Na: 0.131 0.250 0.007
Na: 0.369 0.750 0.507
Na: 0.631 0.250 0.493
Na: 0.869 0.750 0.993
Tb: 0.052 0.250 0.672
Tb: 0.448 0.750 0.172
Tb: 0.552 0.250 0.828
Tb: 0.948 0.750 0.328
Hg: 0.235 0.250 0.293
Hg: 0.265 0.750 0.793
Hg: 0.735 0.250 0.207
Hg: 0.765 0.750 0.707
Se: 0.059 0.750 0.842
Se: 0.076 0.250 0.424
Se: 0.232 0.750 0.145
Se: 0.268 0.250 0.645
Se: 0.424 0.750 0.924
Se: 0.441 0.250 0.342
Se: 0.559 0.750 0.658
Se: 0.576 0.250 0.076
Se: 0.732 0.750 0.355
Se: 0.768 0.250 0.855
Se: 0.924 0.750 0.576
Se: 0.941 0.250 0.158



19.
VASP calculation (GGA-PBE) on an optimized crystal structure of NaZnAg.

Properties
Space group ... F-43m
Raw total energy ... -20.2 eV per cell

Lattice parameters (Å, degrees): 6.553 6.553 6.553 90.00 90.00 90.00
Positions (direct):
Na: 0.000 0.000 0.000
Na: 0.000 0.500 0.500
Na: 0.500 0.000 0.500
Na: 0.500 0.500 0.000
Zn: 0.000 0.000 0.500
Zn: 0.000 0.500 0.000
Zn: 0.500 0.000 0.000
Zn: 0.500 0.500 0.500
Ag: 0.250 0.250 0.250
Ag: 0.250 0.750 0.750
Ag: 0.750 0.250 0.750
Ag: 0.750 0.750 0.250



20.
VASP calculation (GGA-PBE) on an optimized crystal structure of RbNaTcSe3.

Properties
Space group ... Pnma
Raw total energy ... -106.7 eV per cell

Lattice parameters (Å, degrees): 15.635 3.691 10.484 90.00 90.00 90.00
Positions (direct):
Rb: 0.130 0.250 0.009
Rb: 0.370 0.750 0.509
Rb: 0.630 0.250 0.491
Rb: 0.870 0.750 0.991
Na: 0.191 0.750 0.304
Na: 0.309 0.250 0.804
Na: 0.691 0.750 0.196
Na: 0.809 0.250 0.696
Tc: 0.031 0.750 0.602
Tc: 0.469 0.250 0.102
Tc: 0.531 0.750 0.898
Tc: 0.969 0.250 0.398
Se: 0.016 0.750 0.235
Se: 0.111 0.250 0.491
Se: 0.178 0.750 0.740
Se: 0.322 0.250 0.240
Se: 0.389 0.750 0.991
Se: 0.484 0.250 0.735
Se: 0.516 0.750 0.265
Se: 0.611 0.250 0.009
Se: 0.678 0.750 0.760
Se: 0.822 0.250 0.260
Se: 0.889 0.750 0.509
Se: 0.984 0.250 0.765